Au2SN: optimized geometry, GGA-PBE.

Computed properties:
- DFT total energy (eV for the cell shown) = -16.781
- uncorrected formation energy (eV/atom) = 0.557

a b c (Å): 3.678 3.678 5.824
angles (deg): 90.00 90.00 120.00
Element x y z (fractional)
Au  0.000  0.000  0.472
Au  0.333  0.667  0.165
S  0.667  0.333  0.706
N  0.667  0.333  0.979



Au2SN: optimized geometry, GGA-PBE.

Computed properties:
- DFT total energy (eV for the cell shown) = -16.602
- uncorrected formation energy (eV/atom) = 0.601

a b c (Å): 3.342 3.256 6.869
angles (deg): 90.00 98.17 90.00
Element x y z (fractional)
S  0.790  0.500  0.254
Au  0.768  0.000  0.540
Au  0.368  0.500  0.786
N  0.417  0.500  0.098



Q: DFT total energy of number 2 (Au2SN)?
A: -16.602 eV for the cell shown



Q: Among the records above, which one has the highest DFT total energy?
A: number 2